Entry from the Alexandria database: a relaxed structure of Ca2BeHg (GGA-PBE).

a = 4.177 Å, b = 4.177 Å, c = 8.045 Å
α = 75.02°, β = 75.02°, γ = 59.76°
Fractional coordinates of all 4 atoms:
Ca: 0.990 0.990 0.030
Ca: 0.510 0.510 0.470
Hg: 0.750 0.750 0.750
Be: 0.250 0.250 0.250

Values from the calculation:
VASP energy: -1.879 eV per atom
Relative energy among the computed polymorphs: 224.5 meV/atom